Below is a relaxed TiFeP2O crystal, with properties calculated at the PBE with a Hubbard U level.

Summary:
The electronic total energy is -0.213 hartree per atom. The calculation puts the distance to the lowest polymorph of the same formula at 224 meV/atom.

a = 4.6625 Å, b = 4.6625 Å, c = 3.5405 Å
α = 90.00°, β = 90.00°, γ = 90.00°
Last column: magnetic moment on the atom in μB.
Atoms (fractional coordinates):
Ti1 0.5000 0.5000 0.5000  0.50
P1 0.5000 0.0000 0.0000  -0.12
P2 0.0000 0.5000 0.0000  -0.12
O1 0.0000 0.0000 0.5000  0.08
Fe1 0.0000 0.0000 0.0000  3.14